1.
# SnBiSe3, optimized geometry, DFT PBE
data_SnBiSe3
_cell_length_a 7.020
_cell_length_b 4.091
_cell_length_c 10.676
_cell_angle_alpha 90.00
_cell_angle_beta 99.66
_cell_angle_gamma 90.00
_space_group_name_H-M_alt 'P 1 21/m 1'
_space_group_IT_number 11
loop_
_space_group_symop_operation_xyz
'x,y,z'
'-x,-y,-z'
'-x,y+1/2,-z'
'x,-y+1/2,z'
loop_
_atom_site_label
_atom_site_fract_x
_atom_site_fract_y
_atom_site_fract_z
Sn1 0.227 0.250 0.484
Bi1 0.363 0.250 0.851
Se1 0.034 0.750 0.333
Se2 0.250 0.750 0.011
Se3 0.450 0.750 0.649
# ΔE_f (raw) in eV per atom: -0.346
# Magnetization in μB/atom: 0.000
# V in Å³ per atom: 30.2

---

2.
# Sn4BiTe2Se, optimized geometry, DFT PBE
data_Sn4BiTe2Se
_cell_length_a 7.684
_cell_length_b 4.446
_cell_length_c 7.726
_cell_angle_alpha 90.00
_cell_angle_beta 109.50
_cell_angle_gamma 90.00
_space_group_name_H-M_alt 'P 1 2/m 1'
_space_group_IT_number 10
loop_
_space_group_symop_operation_xyz
'x,y,z'
'-x,-y,-z'
'-x,y,-z'
'x,-y,z'
loop_
_atom_site_label
_atom_site_fract_x
_atom_site_fract_y
_atom_site_fract_z
Sn1 0.239 0.000 0.238
Sn2 0.248 0.500 0.759
Bi1 0.500 0.000 0.000
Te1 0.000 0.000 0.500
Te2 0.500 0.500 0.500
Se1 0.000 0.500 0.000
# ΔE_f (raw) in eV per atom: -0.195
# Magnetization in μB/atom: 0.000
# V in Å³ per atom: 31.1